<a>
VASP calculation (PBE) on an optimized crystal structure of BaTa2Cl.

```
BaTa2Cl
1.0
2.8402 -7.2445 0.0000
2.8402 7.2445 0.0000
-1.9545 0.0000 2.7081
Ba Ta Cl
1 2 1
direct
0.0000 0.0000 0.0000 Ba
0.0000 0.5000 0.5000 Ta
0.5000 0.0000 0.5000 Ta
0.5000 0.5000 0.0000 Cl
```

Calculated values
Its size of the total moment is 0.000 μB per atom. Its symmetry is C2/m, No. 12. The density of states at the Fermi level is 1.0310 states/eV/atom. The value obtained for the density is 7.97 g/cm³.

<b>
VASP calculation (PBE) on an optimized crystal structure of BaTa2Cl.

```
BaTa2Cl
1.0
2.7283 -6.7513 0.0000
2.7283 6.7513 0.0000
0.0000 0.0000 3.0915
Ba Ta Cl
1 2 1
direct
0.0000 0.0000 0.0000 Ba
0.0000 0.5000 0.5000 Ta
0.5000 0.0000 0.5000 Ta
0.5000 0.5000 0.0000 Cl
```

Calculated values
Its size of the total moment is 0.074 μB per atom. Its symmetry is Cmmm, No. 65. The density of states at the Fermi level is 1.4675 states/eV/atom. The value obtained for the density is 7.80 g/cm³.

<c>
VASP calculation (PBE) on an optimized crystal structure of BaTa2Cl.

```
BaTa2Cl
1.0
-1.5803 3.3053 5.3245
1.5803 -3.3053 5.3245
1.5803 3.3053 -5.3245
Ba Ta Cl
1 2 1
direct
0.0000 0.0000 0.0000 Ba
0.3438 0.8438 0.5000 Ta
0.5440 0.5440 0.0000 Ta
0.7369 0.2369 0.5000 Cl
```

Calculated values
Its size of the total moment is 0.130 μB per atom. Its symmetry is Imm2, No. 44. The density of states at the Fermi level is 1.0760 states/eV/atom. The value obtained for the density is 7.98 g/cm³.

Q: Which of them is the most stable? A: <a>.

<a>
VASP calculation (PBE) on an optimized crystal structure of BaTaCl2.

```
BaTaCl2
1.0
1.6128 -3.2180 0.0000
1.6128 3.2180 0.0000
0.0000 0.0000 9.4524
Ba Ta Cl
1 1 2
direct
0.0000 0.0000 0.0000 Ba
0.0000 0.0000 0.5000 Ta
0.5000 0.5000 0.2884 Cl
0.5000 0.5000 0.7116 Cl
```

Calculated values
Its size of the total moment is 0.198 μB per atom. Its symmetry is Cmmm, No. 65. The density of states at the Fermi level is 0.5875 states/eV/atom. The value obtained for the density is 6.59 g/cm³.

<b>
VASP calculation (PBE) on an optimized crystal structure of BaTaCl2.

```
BaTaCl2
1.0
-1.6639 3.1135 5.0562
1.6639 -3.1135 5.0562
1.6639 3.1135 -5.0562
Ba Ta Cl
1 1 2
direct
0.0000 0.0000 0.0000 Ba
0.5000 0.5000 0.0000 Ta
0.3118 0.8118 0.5000 Cl
0.6882 0.1882 0.5000 Cl
```

Calculated values
Its size of the total moment is 0.000 μB per atom. Its symmetry is Immm, No. 71. The density of states at the Fermi level is 0.6859 states/eV/atom. The value obtained for the density is 6.17 g/cm³.

<c>
VASP calculation (PBE) on an optimized crystal structure of BaTaCl2.

```
BaTaCl2
1.0
1.7267 0.9969 9.6595
-1.7267 0.9969 9.6595
0.0000 -1.9938 9.6595
Ba Ta Cl
1 1 2
direct
0.0000 0.0000 0.0000 Ba
0.5000 0.5000 0.5000 Ta
0.4163 0.4163 0.4163 Cl
0.5837 0.5837 0.5837 Cl
```

Calculated values
Its size of the total moment is 0.101 μB per atom. Its symmetry is R-3m, No. 166. The density of states at the Fermi level is 1.1094 states/eV/atom. The value obtained for the density is 6.48 g/cm³.

<d>
VASP calculation (PBE) on an optimized crystal structure of BaTaCl2.

```
BaTaCl2
1.0
5.2470 0.0000 0.0000
0.0000 5.2470 0.0000
0.0000 0.0000 3.5141
Ba Ta Cl
1 1 2
direct
0.0000 0.0000 0.0000 Ba
0.5000 0.5000 0.0000 Ta
0.0000 0.5000 0.5000 Cl
0.5000 0.0000 0.5000 Cl
```

Calculated values
Its size of the total moment is 0.549 μB per atom. Its symmetry is P4/mmm, No. 123. The density of states at the Fermi level is 0.6878 states/eV/atom. The value obtained for the density is 6.68 g/cm³.

Q: Which of them is the most stable? A: <b>.

<a>
VASP calculation (PBE) on an optimized crystal structure of BaTaCl2.

```
BaTaCl2
1.0
-2.7494 2.7494 7.7385
2.7494 -2.7494 7.7385
2.7494 2.7494 -7.7385
Ba Ta Cl
2 2 4
direct
0.0000 0.0000 0.0000 Ba
0.7500 0.2500 0.5000 Ba
0.2500 0.7500 0.5000 Ta
0.5000 0.5000 0.0000 Ta
0.2540 0.6250 0.1290 Cl
0.3750 0.5040 0.6290 Cl
0.4960 0.1250 0.8710 Cl
0.8750 0.7460 0.3710 Cl
```

Calculated values
Its size of the total moment is 0.224 μB per atom. Its symmetry is I-42d, No. 122. The density of states at the Fermi level is 0.6266 states/eV/atom. The value obtained for the density is 5.52 g/cm³.

<b>
VASP calculation (PBE) on an optimized crystal structure of BaTaCl2.

```
BaTaCl2
1.0
-1.6984 2.5307 6.1805
1.6984 -2.5307 6.1805
1.6984 2.5307 -6.1805
Ba Ta Cl
1 1 2
direct
0.0000 0.0000 0.0000 Ba
0.7460 0.2460 0.5000 Ta
0.2465 0.7465 0.5000 Cl
0.5646 0.5646 0.0000 Cl
```

Calculated values
Its size of the total moment is 0.582 μB per atom. Its symmetry is Imm2, No. 44. The density of states at the Fermi level is 0.5114 states/eV/atom. The value obtained for the density is 6.08 g/cm³.

<c>
VASP calculation (PBE) on an optimized crystal structure of BaTaCl2.

```
BaTaCl2
1.0
4.4235 -1.6895 0.0000
4.4235 1.6895 0.0000
-1.2796 0.0000 6.7966
Ba Ta Cl
1 1 2
direct
0.0000 0.0000 0.0000 Ba
0.7484 0.7484 0.3880 Ta
0.2325 0.2325 0.6800 Cl
0.4628 0.4628 0.3740 Cl
```

Calculated values
Its size of the total moment is 0.000 μB per atom. Its symmetry is Cm, No. 8. The density of states at the Fermi level is 0.6353 states/eV/atom. The value obtained for the density is 6.36 g/cm³.

<d>
VASP calculation (PBE) on an optimized crystal structure of BaTaCl2.

```
BaTaCl2
1.0
4.7199 0.0000 0.0000
0.0000 1.7103 6.5737
0.0000 -1.7103 6.5737
Ba Ta Cl
1 1 2
direct
0.0000 0.0000 0.0000 Ba
0.5000 0.3190 0.3190 Ta
0.0000 0.3072 0.3072 Cl
0.5000 0.6646 0.6646 Cl
```

Calculated values
Its size of the total moment is 0.000 μB per atom. Its symmetry is Amm2, No. 38. The density of states at the Fermi level is 0.6893 states/eV/atom. The value obtained for the density is 6.09 g/cm³.

Q: Which of them is the most stable? A: <d>.

<a>
VASP calculation (PBE) on an optimized crystal structure of BaTaCl2.

```
BaTaCl2
1.0
3.4877 0.0000 0.0000
0.0000 3.4877 0.0000
0.0000 0.0000 8.9043
Ba Ta Cl
1 1 2
direct
0.0000 0.0000 0.0000 Ba
0.5000 0.5000 0.6820 Ta
0.0000 0.0000 0.5685 Cl
0.5000 0.5000 0.2077 Cl
```

Calculated values
Its size of the total moment is 0.109 μB per atom. Its symmetry is P4mm, No. 99. The density of states at the Fermi level is 0.6524 states/eV/atom. The value obtained for the density is 5.97 g/cm³.

<b>
VASP calculation (PBE) on an optimized crystal structure of BaTaCl2.

```
BaTaCl2
1.0
3.4043 0.0000 0.0000
0.0000 4.8485 0.0000
0.0000 0.0000 6.6825
Ba Ta Cl
1 1 2
direct
0.0000 0.0000 0.0000 Ba
0.5000 0.0000 0.5000 Ta
0.0000 0.5000 0.5000 Cl
0.5000 0.5000 0.0000 Cl
```

Calculated values
Its size of the total moment is 0.551 μB per atom. Its symmetry is Pmmm, No. 47. The density of states at the Fermi level is 0.8346 states/eV/atom. The value obtained for the density is 5.86 g/cm³.

Q: Which of them is the most stable? A: <a>.